Entry 1:
A PBEsol-optimized structure of CaBi2Sb2. Source: the Alexandria database, functional SCAN.

Output
E_form (uncorrected) = -0.158 eV per atom

Cell lengths 8.569, 8.569, 8.569 Å; angles 149.70, 149.70, 43.38 degrees
Sites, in units of the cell vectors:
Ca 0.000 0.000 0.000
Bi 0.250 0.750 0.500
Bi 0.750 0.250 0.500
Sb 0.410 0.410 0.000
Sb 0.590 0.590 0.000

---

Entry 2:
A PBEsol-optimized structure of CaBiSb2Te. Source: the Alexandria database, functional SCAN.

Output
E_form (uncorrected) = 0.568 eV per atom

Cell lengths 5.631, 5.631, 5.529 Å; angles 90.00, 90.00, 90.00 degrees
Sites, in units of the cell vectors:
Ca 0.000 0.000 0.000
Bi 0.500 0.500 0.500
Sb 0.000 0.500 0.000
Sb 0.500 0.000 0.000
Te 0.000 0.000 0.500

---

Respective total DFT energy (no corrections) values: -48.4263 -39.4352 eV per atom.
Respective spin magnetization values: 0.0 0.0 μB per formula unit.
Respective N(E_F) values: 2.1 5.0 states/eV per cell.